# 1
10
Lattice="7.028 0.000 -0.497 0.000 6.978 0.000 -3.254 -3.489 5.142" Properties=species:S:1:pos:R:3 comment="Sr2UTiS6, optimized geometry, DFT PBE" e_form_raw_ev_per_atom=-1.628 spacegroup="C2/m, No. 12" pbc="T T T"
Sr 3.776 3.489 2.152
S 2.980 0.000 2.159
S 5.239 1.697 0.135
S 5.239 5.281 0.135
Sr -0.002 0.000 2.493
U 0.000 3.489 0.000
Ti 3.514 0.000 -0.249
S -1.465 -1.792 4.510
S -1.465 1.792 4.510
S 0.794 3.489 2.486



# 2
8
Lattice="7.920 0.000 0.000 0.000 4.315 0.000 0.000 0.000 11.203" Properties=species:S:1:pos:R:3 comment="Ba3Pt, optimized geometry, DFT PBE" spacegroup="Pmmn, No. 59" formation_energy_mev_per_atom=-391 pbc="T T T"
Ba 1.881 2.157 9.221
Pt 3.960 2.157 3.518
Ba 6.039 2.157 9.221
Ba 3.960 0.000 5.823
Ba 0.000 2.157 5.380
Ba 5.841 0.000 1.982
Ba 2.079 0.000 1.982
Pt 0.000 0.000 7.685



# 3
4
Lattice="3.560 0.000 0.000 0.000 3.550 -0.109 0.000 0.243 7.101" Properties=species:S:1:pos:R:3 comment="Ag2AuBr, optimized geometry, DFT PBE" e_form_raw_ev_per_atom=-0.041 de_polymorph_mev_per_atom=0 spacegroup="P2/m, No. 10" pbc="T T T"
Ag 0.000 2.679 0.280
Br 1.780 2.844 5.244
Au 1.780 0.948 1.748
Ag 0.000 2.767 3.107



Looking at energy for the records above, in order, we have -6.3590, -3.3435, -2.7043 eV per atom.